A crystal of NiPNO2 relaxed with PBEsol, computed with SCAN.

Properties
Its uncorrected formation energy is -0.408 eV/atom. The value obtained for the density of states at the Fermi level is 0.4 states/eV/cell.

Unit cell a=3.296 b=3.296 c=3.750 alpha=90.00 beta=90.00 gamma=90.00
Space group P4/mmm (No. 123)
Unique sites:
Ni  0.000  0.000  0.000 (multiplicity 1)
P  0.500  0.500  0.500 (multiplicity 1)
N  0.500  0.500  0.000 (multiplicity 1)
O  0.000  0.500  0.500 (multiplicity 2)


A crystal of Mn5Be3 relaxed with PBEsol, computed with SCAN.

Properties
The calculation puts the calculated total energy at -13.1131 eV per atom. The value obtained for the density of states at the Fermi level is 25.5 states/eV/cell.

Unit cell a=8.390 b=8.390 c=4.170 alpha=90.00 beta=90.00 gamma=90.00
Space group I4/mcm (No. 140)
Unique sites:
Mn  0.000  0.500  0.250 (multiplicity 4)
Mn  0.074  0.230  0.000 (multiplicity 16)
Be  0.000  0.000  0.250 (multiplicity 4)
Be  0.172  0.328  0.500 (multiplicity 8)


A crystal of Li2CdGeS4 relaxed with PBEsol, computed with SCAN.

Properties
Its uncorrected formation energy is -0.982 eV/atom. The value obtained for the density of states at the Fermi level is 0.0 states/eV/cell.

Unit cell a=7.699 b=6.822 c=6.371 alpha=90.00 beta=90.00 gamma=90.00
Space group Pmn2_1 (No. 31)
Unique sites:
Li  0.246  0.170  0.000 (multiplicity 4)
Cd  0.000  0.352  0.497 (multiplicity 2)
Ge  0.000  0.673  0.000 (multiplicity 2)
S  0.000  0.363  0.895 (multiplicity 2)
S  0.000  0.693  0.348 (multiplicity 2)
S  0.231  0.833  0.878 (multiplicity 4)


A crystal of Sm2Si5Ru3 relaxed with PBEsol, computed with SCAN.

Properties
Its uncorrected formation energy is -0.904 eV/atom. The value obtained for the density of states at the Fermi level is 12.4 states/eV/cell.

Unit cell a=10.694 b=10.694 c=5.641 alpha=90.00 beta=90.00 gamma=90.00
Space group P4/mnc (No. 128)
Unique sites:
Sm  0.071  0.235  0.000 (multiplicity 8)
Si  0.000  0.000  0.263 (multiplicity 4)
Si  0.024  0.320  0.500 (multiplicity 8)
Si  0.173  0.673  0.250 (multiplicity 8)
Ru  0.000  0.500  0.250 (multiplicity 4)
Ru  0.124  0.854  0.500 (multiplicity 8)


A crystal of KTeCN2 relaxed with PBEsol, computed with SCAN.

Properties
Its uncorrected formation energy is 3.146 eV/atom. For the energy above the most stable polymorph in this dataset, the calculation gives 857 meV/atom. The value obtained for the density of states at the Fermi level is 2.6 states/eV/cell.

Unit cell a=4.676 b=4.676 c=6.842 alpha=90.00 beta=90.00 gamma=90.00
Space group P4/mmm (No. 123)
Unique sites:
K  0.000  0.000  0.000 (multiplicity 1)
Te  0.000  0.000  0.500 (multiplicity 1)
C  0.500  0.500  0.500 (multiplicity 1)
N  0.000  0.500  0.000 (multiplicity 2)


A crystal of KMnCd2 relaxed with PBEsol, computed with SCAN.

Properties
The calculation puts the calculated total energy at -21.5853 eV per atom. The value obtained for the density of states at the Fermi level is 2.9 states/eV/cell.

Unit cell a=5.081 b=5.081 c=7.143 alpha=90.00 beta=90.00 gamma=90.00
Space group I-4m2 (No. 119)
Unique sites:
K  0.000  0.000  0.000 (multiplicity 2)
Mn  0.000  0.500  0.750 (multiplicity 2)
Cd  0.000  0.000  0.500 (multiplicity 2)
Cd  0.000  0.500  0.250 (multiplicity 2)


A crystal of CsRb3N relaxed with PBEsol, computed with SCAN.

Properties
Its uncorrected formation energy is 1.198 eV/atom. The value obtained for the density of states at the Fermi level is 6.3 states/eV/cell.

Unit cell a=8.732 b=8.732 c=8.732 alpha=90.00 beta=90.00 gamma=90.00
Space group Pm-3m (No. 221)
Unique sites:
Cs  0.000  0.000  0.000 (multiplicity 1)
Rb  0.000  0.000  0.500 (multiplicity 3)
N  0.500  0.500  0.500 (multiplicity 1)


A crystal of NaLi3Cl relaxed with PBEsol, computed with SCAN.

Properties
Its uncorrected formation energy is -0.558 eV/atom. The value obtained for the density of states at the Fermi level is 2.7 states/eV/cell.

Unit cell a=4.913 b=4.913 c=4.913 alpha=90.00 beta=90.00 gamma=90.00
Space group Pm-3m (No. 221)
Unique sites:
Na  0.000  0.000  0.000 (multiplicity 1)
Li  0.000  0.500  0.500 (multiplicity 3)
Cl  0.500  0.500  0.500 (multiplicity 1)


A crystal of NaMoCl3 relaxed with PBEsol, computed with SCAN.

Properties
Its uncorrected formation energy is -0.929 eV/atom. The value obtained for the density of states at the Fermi level is 1.3 states/eV/cell.

Unit cell a=4.907 b=4.907 c=4.907 alpha=90.00 beta=90.00 gamma=90.00
Space group Pm-3m (No. 221)
Unique sites:
Na  0.000  0.000  0.000 (multiplicity 1)
Mo  0.500  0.500  0.500 (multiplicity 1)
Cl  0.000  0.500  0.500 (multiplicity 3)


A crystal of LiNiP3O9 relaxed with PBEsol, computed with SCAN.

Properties
Its uncorrected formation energy is -2.260 eV/atom. For the energy above the most stable polymorph in this dataset, the calculation gives 69 meV/atom. The value obtained for the density of states at the Fermi level is 0.0 states/eV/cell.

Unit cell a=6.3336 b=6.3336 c=9.4993 alpha=90.00 beta=90.00 gamma=120.00
Space group P-6c2 (No. 188)
Unique sites:
Li  0.0000  0.0000  0.0000 (multiplicity 2)
Ni  0.3333  0.6667  0.0000 (multiplicity 2)
P  0.4168  0.0482  0.2500 (multiplicity 6)
O  0.0738  0.3757  0.1131 (multiplicity 12)
O  0.4251  0.1217  0.7500 (multiplicity 6)


Copy entry 9 word for word.
A crystal of NaMoCl3 relaxed with PBEsol, computed with SCAN.

Properties
Its uncorrected formation energy is -0.929 eV/atom. The value obtained for the density of states at the Fermi level is 1.3 states/eV/cell.

Unit cell a=4.907 b=4.907 c=4.907 alpha=90.00 beta=90.00 gamma=90.00
Space group Pm-3m (No. 221)
Unique sites:
Na  0.000  0.000  0.000 (multiplicity 1)
Mo  0.500  0.500  0.500 (multiplicity 1)
Cl  0.000  0.500  0.500 (multiplicity 3)